PaTl2V2S6 | PBE | optimized geometry

Output
For the total energy, the calculation gives -68.2 eV per formula unit. The density of states at the Fermi level is 0.30 states/eV/atom.

a b c (Å): 6.2890 6.2890 7.9386
angles (deg): 96.99 96.99 119.44
Atoms (fractional coordinates):
1 S 0.9482 0.5888 0.3197
2 S 0.0518 0.4112 0.6803
3 S 0.5888 0.9482 0.3197
4 S 0.4112 0.0518 0.6803
5 S 0.2960 0.2960 0.3074
6 S 0.7040 0.7040 0.6926
7 V 0.3425 0.6575 0.5000
8 V 0.6575 0.3425 0.5000
9 Tl 0.1658 0.8342 0.0000
10 Tl 0.8342 0.1658 0.0000
11 Pa 0.0000 0.0000 0.5000

AcSmBeN3 | PBE | optimized geometry

Output
For the total energy, the calculation gives -43.3 eV per formula unit. The density of states at the Fermi level is 0.77 states/eV/atom.

a b c (Å): 3.4991 7.5440 7.2063
angles (deg): 100.92 90.00 90.00
Atoms (fractional coordinates):
1 Sm 0.7500 0.3500 0.8165
2 Sm 0.2500 0.6500 0.1835
3 Be 0.2500 0.0728 0.6042
4 Be 0.7500 0.9272 0.3958
5 Ac 0.7500 0.8250 0.7810
6 Ac 0.2500 0.1750 0.2190
7 N 0.2500 0.8582 0.4832
8 N 0.2500 0.1175 0.8445
9 N 0.7500 0.8825 0.1555
10 N 0.7500 0.1418 0.5168
11 N 0.2500 0.5860 0.8401
12 N 0.7500 0.4140 0.1599

no.,calculated volume (Å³/cell)
1,265.36
2,186.78